<a>
The following is a PBE-GGA calculation of CrHgCl2 after structural relaxation, from Alexandria via LeMat-Bulk.

Unit cell a=3.543 b=6.906 c=8.887 alpha=90.00 beta=90.00 gamma=90.00
Positions (direct):
Cr: 0.000 0.000 0.000
Cr: 0.500 0.500 0.000
Hg: 0.000 0.500 0.763
Hg: 0.500 0.000 0.763
Cl: 0.000 0.000 0.550
Cl: 0.000 0.500 0.171
Cl: 0.500 0.000 0.171
Cl: 0.500 0.500 0.550

Summary:
crystal system	orthorhombic

---

<b>
The following is a PBE-GGA calculation of CrHgCl2 after structural relaxation, from Alexandria via LeMat-Bulk.

Unit cell a=3.580 b=3.580 c=32.391 alpha=90.00 beta=90.00 gamma=120.00
Positions (direct):
Cr: 0.000 0.000 0.000
Cr: 0.333 0.667 0.667
Cr: 0.667 0.333 0.333
Hg: 0.000 0.000 0.500
Hg: 0.333 0.667 0.167
Hg: 0.667 0.333 0.833
Cl: 0.000 0.000 0.067
Cl: 0.000 0.000 0.933
Cl: 0.333 0.667 0.600
Cl: 0.333 0.667 0.734
Cl: 0.667 0.333 0.266
Cl: 0.667 0.333 0.400

Summary:
crystal system	trigonal

---

Which one sits at the bottom of the stability order? <b> does.

---

<a>
The following is a PBE-GGA calculation of Cr2HgCl after structural relaxation, from Alexandria via LeMat-Bulk.

Unit cell a=9.263 b=3.187 c=7.678 alpha=90.00 beta=124.34 gamma=90.00
Positions (direct):
Cr: 0.136 0.000 0.314
Cr: 0.364 0.500 0.686
Cr: 0.636 0.500 0.314
Cr: 0.864 0.000 0.686
Hg: 0.000 0.500 0.500
Hg: 0.500 0.000 0.500
Cl: 0.000 0.500 0.000
Cl: 0.500 0.000 0.000

Summary:
crystal system	monoclinic

---

<b>
The following is a PBE-GGA calculation of Cr2HgCl after structural relaxation, from Alexandria via LeMat-Bulk.

Unit cell a=4.510 b=3.195 c=13.094 alpha=90.00 beta=90.00 gamma=90.00
Positions (direct):
Cr: 0.000 0.000 0.000
Cr: 0.000 0.000 0.309
Cr: 0.000 0.500 0.500
Cr: 0.000 0.500 0.809
Hg: 0.500 0.000 0.873
Hg: 0.500 0.500 0.373
Cl: 0.000 0.000 0.647
Cl: 0.000 0.500 0.147

Summary:
crystal system	orthorhombic

---

Which one sits at the bottom of the stability order? <b> does.

---

<a>
The following is a PBE-GGA calculation of Cr2HgCl after structural relaxation, from Alexandria via LeMat-Bulk.

Unit cell a=4.771 b=4.771 c=16.771 alpha=90.00 beta=90.00 gamma=90.00
Positions (direct):
Cr: 0.210 0.250 0.125
Cr: 0.250 0.710 0.375
Cr: 0.250 0.790 0.875
Cr: 0.290 0.250 0.625
Cr: 0.710 0.750 0.625
Cr: 0.750 0.210 0.875
Cr: 0.750 0.290 0.375
Cr: 0.790 0.750 0.125
Hg: 0.000 0.000 0.500
Hg: 0.000 0.500 0.750
Hg: 0.500 0.000 0.250
Hg: 0.500 0.500 0.000
Cl: 0.000 0.000 0.000
Cl: 0.000 0.500 0.250
Cl: 0.500 0.000 0.750
Cl: 0.500 0.500 0.500

Summary:
crystal system	tetragonal

---

<b>
The following is a PBE-GGA calculation of Cr2HgCl after structural relaxation, from Alexandria via LeMat-Bulk.

Unit cell a=3.145 b=2.988 c=8.504 alpha=90.00 beta=96.64 gamma=90.00
Positions (direct):
Cr: 0.000 0.000 0.000
Cr: 0.444 0.500 0.827
Hg: 0.866 0.000 0.588
Cl: 0.070 0.500 0.211

Summary:
crystal system	monoclinic

---

Which one sits at the bottom of the stability order? <a> does.